(1)
Density functional theory data (GGA-PBEsol) for a geometry-optimized PbAu7 structure.

Structure (extended XYZ):
```
8
Lattice="5.886 0.000 0.000 2.943 5.098 0.000 2.943 1.699 4.806" Properties=species:S:1:pos:R:3 pbc="T T T"
Au 4.415 0.850 2.403
Au 2.943 0.000 0.000
Au 1.472 0.850 2.403
Au 1.472 2.549 0.000
Au 2.943 3.398 2.403
Au 5.886 3.398 2.403
Au 4.415 2.549 0.000
Pb 0.000 0.000 0.000
```

Results
The electronic total energy is -3.867 eV per atom. Its density of states at the Fermi level is 2.5 states/eV per cell. The crystal system is cubic. The space group is Fm-3m, No. 225.

---

(2)
Density functional theory data (GGA-PBEsol) for a geometry-optimized Pb3Au structure.

Structure (extended XYZ):
```
16
Lattice="-2.244 -2.388 5.069 6.712 -1.045 6.072 -2.646 6.700 5.578" Properties=species:S:1:pos:R:3 pbc="T T T"
Pb 3.358 1.731 5.895
Pb 1.804 2.772 9.291
Pb -1.991 -0.294 4.421
Pb 0.018 0.495 7.428
Pb 4.665 -1.654 6.625
Pb 1.498 -1.700 5.158
Pb 0.957 -0.551 1.909
Pb -2.623 2.896 5.688
Pb -4.052 3.379 8.832
Pb 1.907 -2.864 8.383
Pb -1.204 2.547 2.559
Pb 0.709 3.924 5.755
Au 1.089 2.096 12.249
Au 2.839 0.038 8.461
Au -1.016 3.229 8.258
Au 0.734 1.171 4.469
```

Results
The electronic total energy is -4.029 eV per atom. Its density of states at the Fermi level is 7.8 states/eV per cell. The crystal system is tetragonal. The space group is I-42m, No. 121.

---

(3)
Density functional theory data (GGA-PBEsol) for a geometry-optimized PbAu8 structure.

Structure (extended XYZ):
```
9
Lattice="-2.486 1.011 -3.141 1.856 -3.453 -5.298 -5.165 -4.094 0.054" Properties=species:S:1:pos:R:3 pbc="T T T"
Au -5.055 -2.002 -2.077
Au -0.456 -1.582 -5.582
Au -2.791 -3.878 -1.756
Au -2.596 -1.082 -1.010
Au -3.030 -4.654 -4.533
Au -0.517 -3.670 -3.489
Au -0.174 -0.860 -2.856
Au -2.764 -1.882 -3.852
Pb 0.000 0.000 0.000
```

Results
The electronic total energy is -3.882 eV per atom. Its density of states at the Fermi level is 2.8 states/eV per cell. The crystal system is tetragonal. The space group is I4/mmm, No. 139.

---

(4)
Density functional theory data (GGA-PBEsol) for a geometry-optimized Pb3Au4 structure.

Structure (extended XYZ):
```
7
Lattice="3.506 0.000 0.000 0.000 3.506 0.000 -1.753 -1.753 12.640" Properties=species:S:1:pos:R:3 pbc="T T T"
Au 1.753 1.753 1.817
Au 0.000 0.000 10.823
Au 0.000 0.000 3.225
Au 1.753 1.753 9.415
Pb 0.000 0.000 7.718
Pb 0.000 0.000 0.000
Pb 1.753 1.753 4.922
```

Results
The electronic total energy is -3.955 eV per atom. Its density of states at the Fermi level is 2.7 states/eV per cell. The crystal system is tetragonal. The space group is I4/mmm, No. 139.

---

(5)
Density functional theory data (GGA-PBEsol) for a geometry-optimized Pb17Au12 structure.

Structure (extended XYZ):
```
29
Lattice="9.645 0.000 0.000 -3.215 9.093 0.000 -3.215 -4.547 7.875" Properties=species:S:1:pos:R:3 pbc="T T T"
Au 5.816 -2.877 4.984
Au 3.487 -3.701 6.410
Au -1.436 -2.031 6.449
Au -4.651 4.524 4.984
Au 5.816 5.755 0.000
Au -1.436 6.601 1.465
Au 1.779 -0.023 2.891
Au -4.651 2.054 6.410
Au 3.487 7.401 0.000
Au -0.614 1.669 2.891
Au 6.702 0.846 1.465
Au 1.779 2.515 1.426
Pb 4.268 1.804 3.125
Pb -2.937 0.078 4.750
Pb -1.609 3.136 5.432
Pb 4.821 -1.410 2.443
Pb 0.278 0.393 5.567
Pb 1.053 5.485 0.000
Pb 3.159 0.000 0.000
Pb -1.053 -1.489 2.579
Pb -2.937 4.075 2.443
Pb 4.821 2.821 0.000
Pb 0.000 0.000 0.000
Pb 3.493 4.940 2.307
Pb 0.278 4.625 3.125
Pb 2.162 3.058 5.296
Pb -1.053 2.978 0.000
Pb 1.053 -2.743 4.750
Pb 3.493 -0.472 5.432
```

Results
The electronic total energy is -3.941 eV per atom. Its density of states at the Fermi level is 12.1 states/eV per cell. The crystal system is cubic. The space group is I-43m, No. 217.

---

(6)
Density functional theory data (GGA-PBEsol) for a geometry-optimized Pb5Au structure.

Structure (extended XYZ):
```
6
Lattice="3.575 0.000 0.000 -1.788 6.361 -0.003 0.000 -2.144 7.240" Properties=species:S:1:pos:R:3 pbc="T T T"
Pb 0.000 2.842 5.059
Pb 1.788 1.374 2.178
Pb 1.788 0.028 6.177
Pb 0.000 4.188 1.061
Pb 0.000 -1.072 3.620
Au 0.000 0.000 0.000
```

Results
Its density of states at the Fermi level is 2.5 states/eV per cell. The crystal system is monoclinic. The space group is C2/m, No. 12. The calculation puts the energy above the most stable polymorph in this dataset at 0.015 eV per atom.

---

(7)
Density functional theory data (GGA-PBEsol) for a geometry-optimized Pb3Au2 structure.

Structure (extended XYZ):
```
5
Lattice="4.814 0.000 0.000 -2.407 4.169 0.000 0.000 0.000 6.474" Properties=species:S:1:pos:R:3 pbc="T T T"
Pb 2.407 1.390 4.318
Pb 0.000 0.000 0.000
Pb 0.000 2.779 2.156
Au 2.407 1.390 1.279
Au 0.000 2.779 5.196
```

Results
The electronic total energy is -3.982 eV per atom. Its density of states at the Fermi level is 2.4 states/eV per cell. The crystal system is trigonal. The space group is P-3m1, No. 164.

---

(8)
Density functional theory data (GGA-PBEsol) for a geometry-optimized Pb5Au structure.

Structure (extended XYZ):
```
6
Lattice="3.530 0.000 0.000 0.000 5.554 0.000 -1.765 0.000 8.451" Properties=species:S:1:pos:R:3 pbc="T T T"
Pb 1.765 2.777 5.142
Pb 1.765 0.000 1.951
Pb 0.000 2.777 2.373
Pb 0.000 2.777 7.982
Pb 0.000 0.000 5.558
Au 1.765 0.000 7.981
```

Results
Its density of states at the Fermi level is 3.4 states/eV per cell. The crystal system is orthorhombic. The space group is Cmmm, No. 65. The calculation puts the energy above the most stable polymorph in this dataset at 0.057 eV per atom.